Crystalline Ac5Pb2O12 at its relaxed geometry. Source: Alexandria via LeMat-Bulk, functional PBE.

Cell: 7.5565 7.5565 8.1116 Å, 105.48 105.48 51.31°
Last column: nearest neighbours and their distance in Å.
Fractional coordinates of all 19 atoms:
Ac 0.0000 0.0000 0.0000  6 O 2.52-2.60
Ac 0.3037 0.3037 0.6623  7 O 2.51-2.64
Ac 0.3062 0.3062 0.1416  7 O 2.54-2.62
Ac 0.6938 0.6938 0.8584  7 O 2.54-2.62
Ac 0.6963 0.6963 0.3377  7 O 2.51-2.64
Pb 0.2426 0.7574 0.5000  6 O 2.18-2.27
Pb 0.7574 0.2426 0.5000  6 O 2.18-2.27
O 0.0005 0.0005 0.6894  2 Pb 2.21
O 0.0916 0.5956 0.9240  4 Ac 2.54-2.61
O 0.1025 0.5636 0.4147  1 Pb 2.18
O 0.4044 0.9084 0.0760  4 Ac 2.54-2.61
O 0.4364 0.8975 0.5853  1 Pb 2.18
O 0.4984 0.4984 0.6865  2 Pb 2.27
O 0.5016 0.5016 0.3135  2 Pb 2.27
O 0.5636 0.1025 0.4147  1 Pb 2.18
O 0.5956 0.0916 0.9240  4 Ac 2.54-2.61
O 0.8975 0.4364 0.5853  1 Pb 2.18
O 0.9084 0.4044 0.0760  4 Ac 2.54-2.61
O 0.9995 0.9995 0.3106  2 Pb 2.21

Formation energy from raw total energies in eV per atom: -2.51
SG: C2/m, No. 12
Density of states at the Fermi level in states/eV/cell: 17.585
Calculated total energy in eV per formula unit: -135.11